This record from the Alexandria database describes a relaxed structure of CrRuRh. The functional is PBE.

POSCAR file:
```
CrRuRh
1.0
2.7041 0.0000 0.0000
0.0000 3.8000 0.0000
-1.3521 0.0000 8.9856
Ru Rh Cr
2 2 2
Cartesian
1.3521 2.8500 3.6914 Ru
0.0000 0.9500 5.2943 Ru
1.3521 0.9500 0.7955 Rh
0.0000 2.8500 8.1902 Rh
1.3521 2.8500 6.2456 Cr
0.0000 0.9500 2.7400 Cr
```

Output
E_form, eV/atom: 0.41
Crystal system: orthorhombic
Final energy, eV/cell: -50.02
Distance to the lowest polymorph of the same formula, meV/atom: 385